Record 1
Density functional theory data (PBE) for ErHRh after structural relaxation.

Values from the calculation:
Final energy, eV/atom: -5.51
Relative energy among the computed polymorphs, kJ per mole of atoms: 11.1

a = 3.6046 Å, b = 3.7729 Å, c = 3.7729 Å
α = 120.00°, β = 90.00°, γ = 90.00°
Element x y z (fractional)
H  0.1666  0.6667  0.3333
Rh  0.1667  0.0000  0.0000
Er  0.6667  0.3333  0.6667

=====

Record 2
Density functional theory data (PBE) for Cr2NiAs after structural relaxation.

Values from the calculation:
Final energy, eV/atom: -7.18
E_form, eV/atom: 0.237

a = 7.7740 Å, b = 7.7740 Å, c = 7.7740 Å
α = 20.76°, β = 20.76°, γ = 20.76°
Each line ends with the local moment (μB).
Element x y z (fractional)
As  0.7488  0.7488  0.7488  0.01
Cr  0.9946  0.9946  0.9946  -0.27
Cr  0.2546  0.2546  0.2546  0.44
Ni  0.5020  0.5020  0.5020  0.18

=====

Record 3
Density functional theory data (PBE) for Nb3InH after structural relaxation.

Values from the calculation:
Final energy, eV/atom: -6.59

a = 2.7403 Å, b = 8.0423 Å, c = 8.0423 Å
α = 140.73°, β = 90.00°, γ = 90.00°
Element x y z (fractional)
H  0.0000  0.4689  0.5311
Nb  0.5000  0.6551  0.8425
Nb  0.5000  0.1575  0.3449
Nb  0.0000  0.2612  0.7388
In  0.5000  0.0853  0.9147

=====

Record 4
Density functional theory data (PBE) for MgW2SCl after structural relaxation.

Values from the calculation:
Final energy, eV/atom: -5.77

a = 4.3839 Å, b = 6.0962 Å, c = 4.3839 Å
α = 90.00°, β = 90.00°, γ = 90.00°
Each line ends with the local moment (μB).
Element x y z (fractional)
S  0.0000  0.0000  0.0000  -0.03
Mg  0.5000  0.5000  0.5000  -0.02
W  0.0000  0.0000  0.5000  0.55
W  0.5000  0.0000  0.0000  0.65
Cl  0.0000  0.5000  0.0000  0.08

=====

Record 5
Density functional theory data (PBE) for Hg2AuI after structural relaxation.

Values from the calculation:
Final energy, eV/atom: -1.29
Relative energy among the computed polymorphs, kJ per mole of atoms: 4.4

a = 7.6713 Å, b = 7.6713 Å, c = 7.1838 Å
α = 57.73°, β = 57.73°, γ = 90.00°
Element x y z (fractional)
I  0.5000  0.5000  0.0000
I  0.2500  0.7500  0.5000
Au  0.0000  0.0000  0.0000
Au  0.7500  0.2500  0.5000
Hg  0.6672  0.1250  0.2500
Hg  0.0828  0.6250  0.2500
Hg  0.3750  0.3328  0.7500
Hg  0.8750  0.9172  0.7500

=====

Record 6
Density functional theory data (PBE) for PtRh4Se after structural relaxation.

Values from the calculation:
Final energy, eV/atom: -5.97

a = 5.1429 Å, b = 5.1429 Å, c = 5.1429 Å
α = 60.00°, β = 60.00°, γ = 60.00°
Element x y z (fractional)
Pt  0.0000  0.0000  0.0000
Rh  0.8762  0.3746  0.3746
Rh  0.3746  0.3746  0.8762
Rh  0.3746  0.8762  0.3746
Rh  0.3746  0.3746  0.3746
Se  0.7500  0.7500  0.7500

=====

Record 7
Density functional theory data (PBE) for KBaRe after structural relaxation.

Values from the calculation:
Final energy, eV/atom: -3.71
E_form, eV/atom: 1.446
Relative energy among the computed polymorphs, kJ per mole of atoms: 0.0

a = 9.4355 Å, b = 9.4350 Å, c = 3.2490 Å
α = 80.09°, β = 80.08°, γ = 19.83°
Each line ends with the local moment (μB).
Element x y z (fractional)
Ba  0.0358  0.0358  0.9642  -0.03
K  0.3028  0.3028  0.6972  -0.01
Re  0.6614  0.6614  0.3386  0.35

=====

Record 8
Density functional theory data (PBE) for SrGeSbTe2 after structural relaxation.

Values from the calculation:
Final energy, eV/atom: -3.57
Relative energy among the computed polymorphs, kJ per mole of atoms: 0.0

a = 5.5662 Å, b = 5.5662 Å, c = 5.3848 Å
α = 90.00°, β = 90.00°, γ = 90.00°
Element x y z (fractional)
Sb  0.0000  0.0000  0.5000
Ge  0.0000  0.0000  0.0000
Te  0.0000  0.5000  0.0000
Te  0.5000  0.0000  0.0000
Sr  0.5000  0.5000  0.5000

=====

Record 9
Density functional theory data (PBE) for La4DyEr3S8 after structural relaxation.

Values from the calculation:
Final energy, eV/atom: -6.51

a = 7.9453 Å, b = 8.1177 Å, c = 7.9454 Å
α = 119.30°, β = 120.00°, γ = 90.00°
Element x y z (fractional)
La  0.5000  0.0000  0.0000
La  0.5000  0.0000  0.5000
La  0.0000  0.0000  0.0000
La  0.0000  0.0000  0.5000
Dy  0.0000  0.5000  0.0000
Er  0.5000  0.5000  0.0000
Er  0.5000  0.5000  0.5000
Er  0.0000  0.5000  0.5000
S  0.2430  0.7261  0.9831
S  0.2430  0.7261  0.4860
S  0.2584  0.2752  0.5168
S  0.7400  0.7261  0.9831
S  0.2600  0.2739  0.0169
S  0.7416  0.7248  0.4832
S  0.7570  0.2739  0.5140
S  0.7570  0.2739  0.0169

=====

Record 10
Density functional theory data (PBE) for VIn2Pb4 after structural relaxation.

Values from the calculation:
Final energy, eV/atom: -3.83
E_form, eV/atom: 0.378

a = 5.3612 Å, b = 5.3612 Å, c = 8.7214 Å
α = 72.10°, β = 72.10°, γ = 90.00°
Each line ends with the local moment (μB).
Element x y z (fractional)
Pb  0.8262  0.8262  0.3475  0.00
Pb  0.1738  0.1738  0.6525  0.00
Pb  0.0000  0.5000  0.0000  -0.03
Pb  0.5000  0.0000  0.0000  -0.03
V  0.0000  0.0000  0.0000  1.17
In  0.6331  0.6331  0.7338  -0.01
In  0.3669  0.3669  0.2662  -0.01

=====

Record 11
Density functional theory data (PBE) for LaZnSi2Ge after structural relaxation.

Values from the calculation:
Final energy, eV/atom: -4.13

a = 4.8807 Å, b = 4.7902 Å, c = 4.8807 Å
α = 90.00°, β = 90.00°, γ = 90.00°
Element x y z (fractional)
Ge  0.0000  0.0000  0.0000
Si  0.0000  0.0000  0.5000
Si  0.5000  0.0000  0.0000
Zn  0.0000  0.5000  0.0000
La  0.5000  0.5000  0.5000

=====

Record 12
Density functional theory data (PBE) for Re4AsSe after structural relaxation.

Values from the calculation:
Final energy, eV/atom: -8.64

a = 5.2691 Å, b = 5.2691 Å, c = 5.2691 Å
α = 60.00°, β = 60.00°, γ = 60.00°
Element x y z (fractional)
Re  0.8748  0.3751  0.3751
Re  0.3751  0.3751  0.8748
Re  0.3751  0.8748  0.3751
Re  0.3751  0.3751  0.3751
As  0.0000  0.0000  0.0000
Se  0.7500  0.7500  0.7500

=====

Record 13
Density functional theory data (PBE) for ScNi after structural relaxation.

Values from the calculation:
Final energy, eV/atom: -6.27
E_form, eV/atom: -0.213

a = 5.2055 Å, b = 5.2054 Å, c = 5.1288 Å
α = 90.00°, β = 90.00°, γ = 90.00°
Element x y z (fractional)
Sc  0.2068  0.7932  0.0000
Sc  0.7068  0.7068  0.5000
Sc  0.2932  0.2932  0.5000
Sc  0.7932  0.2068  0.0000
Ni  0.3113  0.3113  0.0000
Ni  0.8113  0.1887  0.5000
Ni  0.1887  0.8113  0.5000
Ni  0.6887  0.6887  0.0000

=====

Record 14
Density functional theory data (PBE) for Y2HgRu after structural relaxation.

Values from the calculation:
Final energy, eV/atom: -6.09
E_form, eV/atom: -0.464

a = 3.4907 Å, b = 3.5006 Å, c = 8.2745 Å
α = 64.99°, β = 90.00°, γ = 90.00°
Element x y z (fractional)
Y  0.0000  0.0294  0.9704
Y  0.0000  0.4706  0.5296
Ru  0.5000  0.7500  0.7500
Hg  0.5000  0.2500  0.2500

=====

Record 15
Density functional theory data (PBE) for Rb3SmDy2Te6 after structural relaxation.

Values from the calculation:
Final energy, eV/atom: -4.36

a = 7.8842 Å, b = 7.8842 Å, c = 8.9521 Å
α = 98.44°, β = 98.44°, γ = 120.00°
Element x y z (fractional)
Rb  0.1655  0.8345  0.5000
Rb  0.8345  0.1655  0.5000
Rb  0.5000  0.5000  0.5000
Sm  0.0000  0.0000  0.0000
Dy  0.3332  0.6668  0.0000
Dy  0.6668  0.3332  0.0000
Te  0.9331  0.5951  0.7995
Te  0.7287  0.7287  0.2001
Te  0.0669  0.4049  0.2005
Te  0.5951  0.9331  0.7995
Te  0.2713  0.2713  0.7999
Te  0.4049  0.0669  0.2005

=====

Record 16
Density functional theory data (PBE) for SrYSiI2 after structural relaxation.

Values from the calculation:
Final energy, eV/atom: -3.35

a = 5.8264 Å, b = 5.7065 Å, c = 5.8264 Å
α = 90.00°, β = 90.00°, γ = 90.00°
Element x y z (fractional)
I  0.0000  0.0000  0.5000
I  0.5000  0.0000  0.0000
Y  0.0000  0.5000  0.0000
Si  0.0000  0.0000  0.0000
Sr  0.5000  0.5000  0.5000

=====

Record 17
Density functional theory data (PBE) for MnB2H8 after structural relaxation.

Values from the calculation:
Final energy, eV/atom: -4.52
Relative energy among the computed polymorphs, kJ per mole of atoms: 1.5

a = 5.5413 Å, b = 5.5413 Å, c = 5.8389 Å
α = 90.00°, β = 90.00°, γ = 90.00°
Each line ends with the local moment (μB).
Element x y z (fractional)
Mn  0.5000  0.5000  0.0000  4.35
Mn  0.0000  0.0000  0.5000  4.35
B  0.2494  0.2506  0.2500  0.07
B  0.2506  0.7506  0.7500  0.07
B  0.7494  0.2494  0.7500  0.07
B  0.7506  0.7494  0.2500  0.07
H  0.4660  0.2814  0.2854  0.01
H  0.0340  0.7814  0.7854  0.01
H  0.7186  0.4660  0.7146  0.01
H  0.7814  0.9660  0.2146  0.01
H  0.5340  0.7186  0.2854  0.01
H  0.9660  0.2186  0.7854  0.01
H  0.2814  0.5340  0.7146  0.01
H  0.2186  0.0340  0.2146  0.01
H  0.6702  0.1407  0.5819  0.01
H  0.8298  0.6407  0.0819  0.01
H  0.8593  0.6702  0.4181  0.01
H  0.6407  0.1702  0.9181  0.01
H  0.3298  0.8593  0.5819  0.01
H  0.1702  0.3593  0.0819  0.01
H  0.1407  0.3298  0.4181  0.01
H  0.3593  0.8298  0.9181  0.01

=====

Record 18
Density functional theory data (PBE) for ReTeP2 after structural relaxation.

Values from the calculation:
Final energy, eV/atom: -6.05

a = 5.9167 Å, b = 5.9167 Å, c = 5.9167 Å
α = 149.48°, β = 129.57°, γ = 60.10°
Element x y z (fractional)
P  0.9292  0.9292  0.0000
P  0.5708  0.5708  0.0000
Re  0.7500  0.2500  0.5000
Te  0.2500  0.7500  0.5000

=====

Record 19
Density functional theory data (PBE) for Np2CuPbO8 after structural relaxation.

Values from the calculation:
Final energy, eV/atom: -8.17

a = 5.1072 Å, b = 5.1082 Å, c = 6.9745 Å
α = 88.53°, β = 88.55°, γ = 84.47°
Each line ends with the local moment (μB).
Element x y z (fractional)
Np  0.4979  0.4977  0.7587  0.84
Np  0.5021  0.5023  0.2413  0.84
Cu  0.0000  0.0000  0.0000  0.17
Pb  0.0000  0.0000  0.5000  -0.01
O  0.2145  0.7832  0.2173  -0.03
O  0.6695  0.6689  0.0072  -0.05
O  0.7822  0.2141  0.2176  -0.03
O  0.7855  0.2168  0.7827  -0.03
O  0.3305  0.3311  0.9928  -0.05
O  0.2178  0.7859  0.7824  -0.03
O  0.6661  0.6653  0.5153  -0.04
O  0.3339  0.3347  0.4847  -0.04

=====

Record 20
Density functional theory data (PBE) for ScBO3 after structural relaxation.

Values from the calculation:
Final energy, eV/atom: -7.64

a = 3.3430 Å, b = 3.3430 Å, c = 3.3430 Å
α = 90.00°, β = 90.00°, γ = 90.00°
Element x y z (fractional)
Sc  0.5000  0.5000  0.5000
B  0.0000  0.0000  0.0000
O  0.0000  0.5000  0.0000
O  0.0000  0.0000  0.5000
O  0.5000  0.0000  0.0000

=====

Record 21
Density functional theory data (PBE) for AcAsPt2 after structural relaxation.

Values from the calculation:
Final energy, eV/atom: -5.72
E_form, eV/atom: -0.512

a = 4.2856 Å, b = 4.5220 Å, c = 4.5220 Å
α = 90.00°, β = 90.00°, γ = 90.00°
Element x y z (fractional)
Ac  0.5000  0.5000  0.5000
As  0.5000  0.0000  0.0000
Pt  0.0000  0.0000  0.5000
Pt  0.0000  0.5000  0.0000

=====

Record 22
Density functional theory data (PBE) for OsPdN3 after structural relaxation.

Values from the calculation:
Final energy, eV/atom: -7.02

a = 3.8613 Å, b = 3.8613 Å, c = 3.8613 Å
α = 90.00°, β = 90.00°, γ = 90.00°
Each line ends with the local moment (μB).
Element x y z (fractional)
Os  0.0000  0.0000  0.0000  -0.12
Pd  0.5000  0.5000  0.5000  0.44
N  0.0000  0.5000  0.0000  0.32
N  0.0000  0.0000  0.5000  0.27
N  0.5000  0.0000  0.0000  0.25

=====

Record 23
Density functional theory data (PBE) for HoEr2Co after structural relaxation.

Values from the calculation:
Final energy, eV/atom: -5.04
E_form, eV/atom: 0.160
Relative energy among the computed polymorphs, kJ per mole of atoms: 33.2

a = 3.5365 Å, b = 3.5365 Å, c = 10.4402 Å
α = 80.25°, β = 80.25°, γ = 60.00°
Element x y z (fractional)
Co  0.5000  0.5000  0.5000
Ho  0.0000  0.0000  0.0000
Er  0.1132  0.1132  0.6603
Er  0.8868  0.8868  0.3397

=====

Record 24
Density functional theory data (PBE) for SrMg2Au4 after structural relaxation.

Values from the calculation:
Final energy, eV/atom: -3.21
E_form, eV/atom: -0.644

a = 5.6897 Å, b = 5.8327 Å, c = 5.8327 Å
α = 76.24°, β = 60.81°, γ = 60.81°
Element x y z (fractional)
Sr  0.0000  0.0000  0.0000
Mg  0.7500  0.5000  0.5000
Mg  0.2500  0.5000  0.5000
Au  0.6973  0.0000  0.6055
Au  0.3027  0.0000  0.3945
Au  0.3027  0.3945  0.0000
Au  0.6973  0.6055  0.0000

=====

Record 25
Density functional theory data (PBE) for Li7Ag3Sn after structural relaxation.

Values from the calculation:
Final energy, eV/atom: -2.48
E_form, eV/atom: -0.125
Relative energy among the computed polymorphs, kJ per mole of atoms: 1.5

a = 5.0301 Å, b = 6.9280 Å, c = 6.9280 Å
α = 89.32°, β = 111.85°, γ = 111.85°
Element x y z (fractional)
Li  0.1729  0.1692  0.1692
Li  0.3313  0.0618  0.6019
Li  0.6687  0.3981  0.9382
Li  0.3313  0.6019  0.0618
Li  0.0000  0.5000  0.5000
Li  0.6687  0.9382  0.3981
Li  0.8271  0.8308  0.8308
Ag  0.0000  0.7678  0.2322
Ag  0.5000  0.0000  0.0000
Ag  0.0000  0.2322  0.7678
Sn  0.5000  0.5000  0.5000